# 1
VASP calculation (PBE-GGA) on a geometry-optimized TlAu3 structure.

Output
The magnetization comes out at 0.00 μB per formula unit. For the formation energy from the elements, the calculation gives 13.3 kJ per mole of atoms. For the total energy, the calculation gives -11.6 eV for the cell shown. As for the theoretical density: 16.17 Mg/m³. Its volume is 81.69 Å³/cell.

The structure in extended XYZ format:
```
4
Lattice="3.089 0.000 0.000 -1.545 2.675 0.000 0.000 0.000 9.884" Properties=species:S:1:pos:R:3 pbc="T T T"
Tl 0.000 0.000 0.000
Au 0.000 0.000 4.942
Au 0.000 1.784 2.649
Au 0.000 1.784 7.235
```

# 2
VASP calculation (PBE-GGA) on a geometry-optimized Na2LaMo structure.

Output
The magnetization comes out at 2.09 μB per formula unit. For the formation energy from the elements, the calculation gives 81.2 kJ per mole of atoms. For the total energy, the calculation gives -30.1 eV for the cell shown. As for the theoretical density: 4.20 Mg/m³. Its volume is 221.92 Å³/cell.

The structure in extended XYZ format:
```
8
Lattice="-2.099 2.099 12.592 2.099 -2.099 12.592 2.099 2.099 -12.592" Properties=species:S:1:pos:R:3 pbc="T T T"
Na 3.149 0.957 -3.148
Na 0.957 1.050 3.148
Na -1.050 1.142 9.444
Na 1.142 1.050 15.740
La 2.099 0.000 6.296
La 0.000 0.000 12.592
Mo 0.000 0.000 0.000
Mo 0.000 2.099 6.296
```

# 3
VASP calculation (PBE-GGA) on a geometry-optimized TbSm6 structure.

Output
The magnetization comes out at 0.00 μB per formula unit. For the formation energy from the elements, the calculation gives 23.8 kJ per mole of atoms. For the total energy, the calculation gives -62.4 eV for the cell shown. As for the theoretical density: 7.28 Mg/m³. Its volume is 483.82 Å³/cell.

The structure in extended XYZ format:
```
14
Lattice="6.569 0.000 0.000 0.000 6.569 0.000 0.000 0.000 11.211" Properties=species:S:1:pos:R:3 pbc="T T T"
Tb 1.642 4.927 0.000
Tb 4.927 1.642 0.000
Sm 0.539 3.823 4.048
Sm 0.539 6.030 7.163
Sm 1.642 1.642 1.544
Sm 1.642 1.642 9.667
Sm 2.746 3.823 7.163
Sm 2.746 6.030 4.048
Sm 3.823 0.539 7.163
Sm 3.823 2.746 4.048
Sm 4.927 4.927 1.544
Sm 4.927 4.927 9.667
Sm 6.030 0.539 4.048
Sm 6.030 2.746 7.163
```

# 4
VASP calculation (PBE-GGA) on a geometry-optimized MgTl2Te structure.

Output
The magnetization comes out at 0.00 μB per formula unit. For the total energy, the calculation gives -10.3 eV for the cell shown. As for the theoretical density: 7.45 Mg/m³. The calculation puts the uncorrected formation energy at -0.215 eV/atom. Its volume is 124.90 Å³/cell.

The structure in extended XYZ format:
```
4
Lattice="-2.017 2.129 7.269 2.017 -2.129 7.269 2.017 2.129 -7.269" Properties=species:S:1:pos:R:3 pbc="T T T"
Mg 0.000 0.000 0.000
Tl 2.017 0.000 2.726
Tl 0.000 2.129 4.543
Te 0.000 0.000 7.269
```

# 5
VASP calculation (PBE-GGA) on a geometry-optimized ZnPd2Se structure.

Output
The magnetization comes out at 0.00 μB per formula unit. For the total energy, the calculation gives -31.8 eV for the cell shown. As for the theoretical density: 8.48 Mg/m³. The calculation puts the uncorrected formation energy at -0.187 eV/atom. Its volume is 139.83 Å³/cell.

The structure in extended XYZ format:
```
8
Lattice="-2.024 2.024 8.536 2.024 -2.024 8.536 2.024 2.024 -8.536" Properties=species:S:1:pos:R:3 pbc="T T T"
Zn 0.000 0.000 0.000
Zn 0.000 2.024 4.268
Pd 1.012 -0.972 6.402
Pd 1.052 1.012 2.134
Pd 1.012 2.996 -2.134
Pd 0.972 1.012 10.670
Se 2.024 0.000 4.268
Se 0.000 0.000 8.536
```

# 6
VASP calculation (PBE-GGA) on a geometry-optimized Ca3YPu3S8 structure.

Output
The magnetization comes out at 16.99 μB per formula unit. For the total energy, the calculation gives -117.2 eV for the cell shown. As for the theoretical density: 5.45 Mg/m³. The calculation puts the uncorrected formation energy at -1.917 eV/atom. Its volume is 364.69 Å³/cell.

The structure in extended XYZ format:
```
15
Lattice="4.003 2.311 6.571 -4.003 2.311 6.571 0.000 -4.622 6.571" Properties=species:S:1:pos:R:3 pbc="T T T"
Ca -2.001 -1.155 6.571
Ca -2.001 1.155 13.142
Ca 0.000 2.311 6.571
Y 0.000 0.000 9.857
Pu -4.003 0.000 9.857
Pu -2.001 1.155 3.286
Pu 2.001 1.155 3.286
S 0.000 0.000 4.898
S -1.959 -1.131 11.428
S 0.000 -2.262 8.285
S -1.959 1.131 8.285
S 1.959 -1.131 11.428
S 0.000 2.262 11.428
S 1.959 1.131 8.285
S 0.000 0.000 14.816
```

# 7
VASP calculation (PBE-GGA) on a geometry-optimized Mo3RuW structure.

Output
The magnetization comes out at 1.51 μB per formula unit. For the formation energy from the elements, the calculation gives 199.1 kJ per mole of atoms. For the total energy, the calculation gives -44.4 eV for the cell shown. As for the theoretical density: 9.29 Mg/m³. Its volume is 102.32 Å³/cell.

The structure in extended XYZ format:
```
5
Lattice="4.677 0.000 0.000 0.000 4.677 0.000 0.000 0.000 4.677" Properties=species:S:1:pos:R:3 pbc="T T T"
Mo 0.000 0.000 2.339
Mo 0.000 2.339 0.000
Mo 2.339 0.000 0.000
Ru 2.339 2.339 2.339
W 0.000 0.000 0.000
```

# 8
VASP calculation (PBE-GGA) on a geometry-optimized Cd12Hg5Pb3 structure.

Output
The magnetization comes out at 0.00 μB per formula unit. For the formation energy from the elements, the calculation gives 16.9 kJ per mole of atoms. For the total energy, the calculation gives -80.5 eV for the cell shown. As for the theoretical density: 7.62 Mg/m³. Its volume is 2592.16 Å³/cell.

The structure in extended XYZ format:
```
80
Lattice="-8.654 8.654 8.654 8.654 -8.654 8.654 8.654 8.654 -8.654" Properties=species:S:1:pos:R:3 pbc="T T T"
Cd 2.627 -0.199 1.292
Cd 10.353 5.619 -4.526
Cd 8.455 -1.292 2.627
Cd 13.179 -1.700 3.035
Cd 11.281 0.199 1.292
Cd 10.353 -3.035 4.526
Cd 1.292 2.627 -0.199
Cd 11.688 4.128 -1.700
Cd 5.619 4.526 -1.700
Cd 7.362 2.627 0.199
Cd -0.199 1.292 2.627
Cd 4.526 -1.700 5.619
Cd 8.455 7.362 -2.627
Cd 4.526 1.700 3.035
Cd 7.362 -2.627 8.455
Cd 5.619 -4.526 10.353
Cd 3.035 4.526 1.700
Cd 9.946 6.026 0.199
Cd 2.627 8.455 -1.292
Cd 10.353 3.035 4.128
Cd 4.526 10.353 -3.035
Cd 8.455 1.292 6.026
Cd 1.700 3.035 4.526
Cd 2.627 0.199 7.362
Cd 6.026 8.455 1.292
Cd 6.954 5.619 4.128
Cd 0.199 7.362 2.627
Cd 4.128 -1.700 11.688
Cd -1.700 5.619 4.526
Cd 6.026 0.199 9.946
Cd -1.292 2.627 8.455
Cd 5.619 4.128 6.954
Cd 3.035 13.179 -1.700
Cd 1.292 11.281 0.199
Cd 4.128 6.954 5.619
Cd 0.199 1.292 11.281
Cd 4.128 10.353 3.035
Cd 8.853 7.362 6.026
Cd 1.292 6.026 8.455
Cd 3.035 4.128 10.353
Cd -3.035 4.526 10.353
Cd 7.362 6.026 8.853
Cd -1.700 11.688 4.128
Cd -2.627 8.455 7.362
Cd -4.526 10.353 5.619
Cd 0.199 9.946 6.026
Cd -1.700 3.035 13.179
Cd 6.026 8.853 7.362
Hg 0.000 0.000 0.000
Hg 4.327 4.327 -4.327
Hg 4.327 -4.327 4.327
Hg 8.654 0.000 0.000
Hg 12.981 2.163 0.000
Hg 8.654 -4.327 6.490
Hg 6.490 8.654 -4.327
Hg 6.490 0.000 4.327
Hg 4.327 6.490 0.000
Hg 8.654 4.327 2.163
Hg -4.327 4.327 4.327
Hg 0.000 8.654 0.000
Hg 0.000 0.000 8.654
Hg 4.327 4.327 4.327
Hg 0.000 4.327 6.490
Hg 4.327 2.163 8.654
Hg 2.163 8.654 4.327
Hg 2.163 0.000 12.981
Hg 0.000 12.981 2.163
Hg -4.327 6.490 8.654
Pb 4.327 2.163 0.000
Pb 8.654 4.327 -2.163
Pb 2.163 0.000 4.327
Pb 10.817 0.000 4.327
Pb 0.000 4.327 2.163
Pb 4.327 -2.163 8.654
Pb 4.327 10.817 0.000
Pb 8.654 4.327 6.490
Pb -2.163 8.654 4.327
Pb 6.490 8.654 4.327
Pb 0.000 4.327 10.817
Pb 4.327 6.490 8.654
```

# 9
VASP calculation (PBE-GGA) on a geometry-optimized Pm2Er7Tl2 structure.

Output
The magnetization comes out at 0.00 μB per formula unit. For the formation energy from the elements, the calculation gives -1.0 kJ per mole of atoms. For the total energy, the calculation gives -46.3 eV for the cell shown. As for the theoretical density: 8.98 Mg/m³. Its volume is 345.69 Å³/cell.

The structure in extended XYZ format:
```
11
Lattice="-1.827 9.835 4.811 1.827 -9.835 4.811 1.827 9.835 -4.811" Properties=species:S:1:pos:R:3 pbc="T T T"
Pm 0.000 0.000 0.000
Pm 0.000 9.835 1.599
Er 1.827 -2.612 1.370
Er 1.827 2.612 1.370
Er 0.000 0.000 3.325
Er 0.000 6.667 0.090
Er 0.000 13.003 0.090
Er 1.827 7.185 3.094
Er 0.000 2.650 7.905
Tl 1.827 5.077 -1.965
Tl 0.000 4.757 2.846
```

# 10
VASP calculation (PBE-GGA) on a geometry-optimized ReIr2W2 structure.

Output
The magnetization comes out at 0.00 μB per formula unit. For the formation energy from the elements, the calculation gives 9.4 kJ per mole of atoms. For the total energy, the calculation gives -111.2 eV for the cell shown. As for the theoretical density: 19.65 Mg/m³. Its volume is 158.63 Å³/cell.

The structure in extended XYZ format:
```
10
Lattice="7.548 0.000 0.000 0.000 7.548 0.000 0.000 0.000 2.784" Properties=species:S:1:pos:R:3 pbc="T T T"
Re 0.000 0.000 0.000
Re 3.774 3.774 0.000
Ir 0.945 2.829 0.000
Ir 2.829 6.603 0.000
Ir 4.719 0.945 0.000
Ir 6.603 4.719 0.000
W 1.300 5.074 1.392
W 2.474 1.300 1.392
W 5.074 6.248 1.392
W 6.248 2.474 1.392
```

# 11
VASP calculation (PBE-GGA) on a geometry-optimized Sm2ZnSn3Ir4 structure.

Output
The magnetization comes out at 0.00 μB per formula unit. For the formation energy from the elements, the calculation gives -48.6 kJ per mole of atoms. For the total energy, the calculation gives -63.2 eV for the cell shown. As for the theoretical density: 11.81 Mg/m³. Its volume is 209.68 Å³/cell.

The structure in extended XYZ format:
```
10
Lattice="4.339 0.000 0.000 0.000 4.339 0.000 0.000 0.000 11.137" Properties=species:S:1:pos:R:3 pbc="T T T"
Sm 0.000 2.170 2.756
Sm 2.170 0.000 8.381
Zn 2.170 2.170 0.000
Sn 0.000 0.000 0.000
Sn 0.000 2.170 7.053
Sn 2.170 0.000 4.084
Ir 0.000 0.000 5.568
Ir 0.000 2.170 9.638
Ir 2.170 0.000 1.499
Ir 2.170 2.170 5.568
```

# 12
VASP calculation (PBE-GGA) on a geometry-optimized RbBa2PdRu structure.

Output
The magnetization comes out at 0.00 μB per formula unit. For the formation energy from the elements, the calculation gives 34.1 kJ per mole of atoms. For the total energy, the calculation gives -17.5 eV for the cell shown. As for the theoretical density: 5.15 Mg/m³. Its volume is 183.12 Å³/cell.

The structure in extended XYZ format:
```
5
Lattice="5.949 0.000 0.000 0.000 5.949 0.000 0.000 0.000 5.175" Properties=species:S:1:pos:R:3 pbc="T T T"
Rb 0.000 0.000 0.000
Ba 0.000 2.974 2.588
Ba 2.974 0.000 2.588
Pd 2.974 2.974 0.000
Ru 2.974 2.974 2.588
```

Q: Look up the theoretical density of the third one.
A: 7.28 Mg/m³

Q: What is the formula in the sixth record?
A: Ca3YPu3S8

Q: Which value of theoretical density does entry 8 give?
A: 7.62 Mg/m³